No. 1
Material: Ba2LiPuPd6
Method: DFT, GGA-PBE
State: optimized geometry

Calculated values
Energy of formation from the pure elements in meV per atom: -331

a = 6.7310 Å, b = 6.7744 Å, c = 6.9156 Å
α = 62.83°, β = 63.12°, γ = 63.77°
Last column: nearest neighbours and their distance in Å.
Space group P-1 (No. 2)
One atom of each set of equivalent atoms:
Ba 0.2036 0.2020 0.1995  5 Pd 3.21-3.59, 1 Li 3.28
Li 0.0000 0.0000 0.0000  6 Pd 2.51-2.53
Pu 0.5000 0.5000 0.5000  6 Pd 2.68-2.69
Pd 0.2345 0.2326 0.6341  1 Li 2.51, 1 Pu 2.68, 2 Pd 2.73
Pd 0.2413 0.6438 0.2308  1 Li 2.52, 1 Pu 2.69, 2 Pd 2.73-2.74
Pd 0.3529 0.7593 0.7666  1 Li 2.53, 1 Pu 2.69, 2 Pd 2.73-2.74

=====

No. 2
Material: SbN2OF
Method: DFT, GGA-PBE
State: optimized geometry

Calculated values
Energy relative to the elements, uncorrected in eV/f.u.: 8.65

a = 3.4553 Å, b = 3.4553 Å, c = 4.8261 Å
α = 90.00°, β = 90.00°, γ = 90.00°
Last column: nearest neighbours and their distance in Å.
Space group P4/mmm (No. 123)
One atom of each set of equivalent atoms:
Sb 0.0000 0.0000 0.0000  4 O 2.44
N 0.0000 0.5000 0.5000  2 F 1.73
O 0.5000 0.5000 0.0000  2 F 2.41, 4 Sb 2.44
F 0.5000 0.5000 0.5000  4 N 1.73

=====

No. 3
Material: PaSnMoPd
Method: DFT, GGA-PBE
State: optimized geometry

Calculated values
Energy of formation from the pure elements in meV per atom: -134

a = 6.8340 Å, b = 6.8340 Å, c = 6.8340 Å
α = 90.00°, β = 90.00°, γ = 90.00°
Last column: nearest neighbours and their distance in Å.
Space group F-43m (No. 216)
One atom of each set of equivalent atoms:
Pa 0.0000 0.0000 0.0000  4 Pd 2.96, 4 Mo 2.96
Sn 0.0000 0.0000 0.5000  4 Mo 2.96, 4 Pd 2.96
Mo 0.2500 0.2500 0.2500  4 Sn 2.96, 4 Pa 2.96
Pd 0.2500 0.2500 0.7500  4 Sn 2.96, 4 Pa 2.96

=====

No. 4
Material: La3HgO
Method: DFT, GGA-PBE
State: optimized geometry

Calculated values
Polymorph energy (0 for the lowest one) in meV per atom: 71.3
Energy relative to the elements, uncorrected in eV/f.u.: -6.46

a = 6.8467 Å, b = 7.0939 Å, c = 7.2786 Å
α = 61.94°, β = 76.87°, γ = 65.40°
Last column: nearest neighbours and their distance in Å.
Space group P1 (No. 1)
One atom of each set of equivalent atoms:
La 0.0000 0.0000 0.0000  2 O 2.43-2.65
La 0.0168 0.4502 0.4397  2 O 2.38-2.52
La 0.4491 0.9682 0.2348  1 O 2.62
La 0.4735 0.4196 0.6671  1 O 2.30
La 0.5372 0.5173 0.1182  1 O 2.70
La 0.9274 0.9070 0.5578  2 O 2.35-2.59
Hg 0.0490 0.4497 0.9991  6 La 3.17-3.34
Hg 0.4208 0.9584 0.6798  6 La 3.17-3.39
O 0.2207 0.7114 0.3423  6 La 2.52-2.70
O 0.8317 0.1982 0.6669  4 La 2.30-2.43

=====

No. 5
Material: RuI3N
Method: DFT, GGA-PBE
State: optimized geometry

Calculated values
Polymorph energy (0 for the lowest one) in meV per atom: 100.2
Energy relative to the elements, uncorrected in eV/f.u.: 8.43

a = 5.3266 Å, b = 5.3266 Å, c = 5.3266 Å
α = 90.00°, β = 90.00°, γ = 90.00°
Last column: nearest neighbours and their distance in Å.
Space group Pm-3m (No. 221)
One atom of each set of equivalent atoms:
Ru 0.0000 0.0000 0.0000  6 I 2.66
I 0.0000 0.0000 0.5000  2 Ru 2.66
N 0.5000 0.5000 0.5000  12 I 3.77

=====

No. 6
Material: UTi2Sn
Method: DFT, GGA-PBE
State: optimized geometry

Calculated values
Energy of formation from the pure elements in meV per atom: 118
Polymorph energy (0 for the lowest one) in meV per atom: 221.2

a = 3.0812 Å, b = 3.0812 Å, c = 29.3957 Å
α = 90.00°, β = 90.00°, γ = 120.00°
Last column: nearest neighbours and their distance in Å.
Space group R-3m (No. 166, hexagonal axes)
One atom of each set of equivalent atoms:
U 0.0000 0.0000 0.0000  6 Ti 3.07, 6 U 3.08
Ti 0.0000 0.0000 0.2484  3 Sn 2.99, 3 U 3.07, 6 Ti 3.08
Sn 0.0000 0.0000 0.5000  6 Ti 2.99, 6 Sn 3.08

=====

No. 7
Material: CrRePb2
Method: DFT, GGA-PBE
State: optimized geometry

Calculated values
Energy of formation from the pure elements in meV per atom: 774
Polymorph energy (0 for the lowest one) in meV per atom: 364.8

a = 3.1973 Å, b = 4.7009 Å, c = 11.9234 Å
α = 90.00°, β = 90.00°, γ = 90.00°
Last column: nearest neighbours and their distance in Å.
Space group Imm2 (No. 44)
One atom of each set of equivalent atoms:
Cr 0.0000 0.0000 0.0000  2 Re 2.27
Re 0.0000 0.5000 0.3646  2 Cr 2.27
Pb 0.0000 0.0000 0.5415  4 Cr 2.89, 2 Re 3.16, 2 Pb 3.20
Pb 0.0000 0.5000 0.7625  4 Re 3.09, 2 Pb 3.20

=====

No. 8
Material: CaBe2Mo
Method: DFT, GGA-PBE
State: optimized geometry

Calculated values
Energy of formation from the pure elements in meV per atom: 1005
Polymorph energy (0 for the lowest one) in meV per atom: 744.8

a = 6.3164 Å, b = 6.3164 Å, c = 6.3164 Å
α = 90.00°, β = 90.00°, γ = 90.00°
Last column: nearest neighbours and their distance in Å.
Space group F-43m (No. 216)
One atom of each set of equivalent atoms:
Ca 0.0000 0.0000 0.0000  4 Mo 2.74, 4 Be 2.74
Be 0.0000 0.0000 0.5000  4 Be 2.74, 4 Mo 2.74
Be 0.2500 0.2500 0.2500  4 Ca 2.74, 4 Be 2.74
Mo 0.2500 0.2500 0.7500  4 Be 2.74, 4 Ca 2.74